(1)
This record from the Alexandria database describes an optimized crystal structure of CePrH. The functional is PBE.

Calculated values
As for the total magnetization: 0.33 μB/atom. The space group is P2_1/c (14).

POSCAR file:
```
CePrH
1.0
7.5819 0.0000 0.0000
0.0000 5.9746 0.0000
-3.7064 0.0000 6.5232
Ce Pr H
4 4 4
direct
0.0789 0.2461 0.1658
0.0789 0.2539 0.6658
0.9211 0.7461 0.3342
0.9211 0.7539 0.8342
0.4137 0.7468 0.8311
0.4137 0.7532 0.3311
0.5863 0.2468 0.6689
0.5863 0.2532 0.1689
0.4115 0.1452 0.3317
0.4115 0.3548 0.8317
0.5885 0.6452 0.1683
0.5885 0.8548 0.6683
```

***

(2)
This record from the Alexandria database describes an optimized crystal structure of CePrH. The functional is PBE.

Calculated values
As for the total magnetization: 0.24 μB/atom. The space group is I4mm (107).

POSCAR file:
```
CePrH
1.0
-1.7042 1.7042 6.0850
1.7042 -1.7042 6.0850
1.7042 1.7042 -6.0850
Ce Pr H
1 1 1
direct
0.0000 0.0000 0.0000
0.7192 0.7192 0.0000
0.1876 0.1876 0.0000
```

***

In terms of stability, (1) leads; the second structure lies 7.8 kJ/mol of atoms higher.

***

(1)
This record from the Alexandria database describes an optimized crystal structure of CePr2H. The functional is PBE.

Calculated values
As for the total magnetization: 0.26 μB/atom. The space group is R-3m (166).

POSCAR file:
```
CePr2H
1.0
1.7592 1.0157 9.6246
-1.7592 1.0157 9.6246
0.0000 -2.0314 9.6246
Ce Pr H
1 2 1
direct
0.0000 0.0000 0.0000
0.1149 0.1149 0.1149
0.8851 0.8851 0.8851
0.5000 0.5000 0.5000
```

***

(2)
This record from the Alexandria database describes an optimized crystal structure of CePr2H. The functional is PBE.

Calculated values
As for the total magnetization: 0.14 μB/atom. The space group is P4/mmm (123).

POSCAR file:
```
CePr2H
1.0
3.3795 0.0000 0.0000
0.0000 3.3795 0.0000
0.0000 0.0000 8.6772
Ce Pr H
1 2 1
direct
0.0000 0.0000 0.0000
0.5000 0.5000 0.3094
0.5000 0.5000 0.6906
0.0000 0.0000 0.5000
```

***

In terms of stability, (1) leads; the second structure lies 8.7 kJ/mol of atoms higher.

***

(1)
This record from the Alexandria database describes an optimized crystal structure of Ce2PrH. The functional is PBE.

Calculated values
As for the total magnetization: 0.00 μB/atom. The space group is P4/mmm (123).

POSCAR file:
```
Ce2PrH
1.0
3.2683 0.0000 0.0000
0.0000 3.2683 0.0000
0.0000 0.0000 8.6078
Ce Pr H
2 1 1
direct
0.0000 0.0000 0.1592
0.0000 0.0000 0.8408
0.5000 0.5000 0.5000
0.5000 0.5000 0.0000
```

***

(2)
This record from the Alexandria database describes an optimized crystal structure of Ce2PrH. The functional is PBE.

Calculated values
As for the total magnetization: 0.16 μB/atom. The space group is R-3m (166).

POSCAR file:
```
Ce2PrH
1.0
1.6750 0.9671 9.6418
-1.6750 0.9671 9.6418
0.0000 -1.9341 9.6418
Ce Pr H
2 1 1
direct
0.1138 0.1138 0.1138
0.8862 0.8862 0.8862
0.0000 0.0000 0.0000
0.5000 0.5000 0.5000
```

***

In terms of stability, (2) leads; the second structure lies 3.7 kJ/mol of atoms higher.

***

(1)
This record from the Alexandria database describes an optimized crystal structure of CeH2Pt. The functional is PBE.

Calculated values
As for the total magnetization: 0.10 μB/atom. The space group is Cmcm (63).

POSCAR file:
```
CeH2Pt
1.0
1.9001 -6.3005 0.0000
1.9001 6.3005 0.0000
0.0000 0.0000 4.2758
Ce H Pt
2 4 2
direct
0.1493 0.8507 0.7500
0.8507 0.1493 0.2500
0.0609 0.9391 0.2500
0.2450 0.7550 0.2500
0.7550 0.2450 0.7500
0.9391 0.0609 0.7500
0.4276 0.5724 0.7500
0.5724 0.4276 0.2500
```

***

(2)
This record from the Alexandria database describes an optimized crystal structure of CeH2Pt. The functional is PBE.

Calculated values
As for the total magnetization: 0.17 μB/atom. The space group is Pnma (62).

POSCAR file:
```
CeH2Pt
1.0
6.2203 0.0000 0.0000
0.0000 3.8015 0.0000
0.0000 0.0000 10.0128
Ce H Pt
4 8 4
direct
0.2209 0.2500 0.0822
0.2791 0.7500 0.5822
0.7209 0.2500 0.4178
0.7791 0.7500 0.9178
0.0394 0.7500 0.0751
0.1588 0.7500 0.3507
0.3412 0.2500 0.8507
0.4606 0.2500 0.5751
0.5394 0.7500 0.4249
0.6588 0.7500 0.1493
0.8412 0.2500 0.6493
0.9606 0.2500 0.9249
0.1772 0.2500 0.3623
0.3228 0.7500 0.8623
0.6772 0.2500 0.1377
0.8228 0.7500 0.6377
```

***

In terms of stability, (1) leads; the second structure lies 21.8 kJ/mol of atoms higher.